The following is a DFT calculation (PBE) of a relaxed structure of HfThZn2.

Unit cell a=4.960 b=4.960 c=4.960 alpha=60.00 beta=60.00 gamma=60.00
Fractional coordinates of all 4 atoms:
1 Hf 0.000 0.000 0.000
2 Th 0.500 0.500 0.500
3 Zn 0.250 0.250 0.250
4 Zn 0.750 0.750 0.750

* symmetry: Fm-3m (225)
* excess energy over the best structure of this formula in the dataset: 0.18 eV per formula unit
* magnetization: 0.000 μB per atom



The following is a DFT calculation (PBE) of a relaxed structure of Sc6Cd2Tc.

Unit cell a=8.035 b=8.035 c=3.622 alpha=90.00 beta=90.00 gamma=120.00
Fractional coordinates of all 9 atoms:
1 Sc 0.000 0.385 0.000
2 Sc 0.000 0.754 0.500
3 Sc 0.246 0.246 0.500
4 Sc 0.385 0.000 0.000
5 Sc 0.615 0.615 0.000
6 Sc 0.754 0.000 0.500
7 Cd 0.333 0.667 0.500
8 Cd 0.667 0.333 0.500
9 Tc 0.000 0.000 0.000

* symmetry: P-62m (189)
* calculated total energy: -5.76 eV per atom
* magnetization: 0.001 μB per atom



The following is a DFT calculation (PBE) of a relaxed structure of V6FeMo5.

Unit cell a=7.469 b=7.469 c=7.469 alpha=146.60 beta=132.00 gamma=59.73
Fractional coordinates of all 12 atoms:
1 V 0.084 0.335 0.748
2 V 0.246 0.000 0.246
3 V 0.413 0.665 0.748
4 V 0.587 0.335 0.252
5 V 0.754 0.000 0.754
6 V 0.916 0.665 0.252
7 Fe 0.000 0.500 0.500
8 Mo 0.164 0.164 0.000
9 Mo 0.333 0.833 0.500
10 Mo 0.500 0.500 0.000
11 Mo 0.667 0.167 0.500
12 Mo 0.836 0.836 0.000

* symmetry: Immm (71)
* calculated total energy: -9.91 eV per atom
* magnetization: 0.000 μB per atom



The following is a DFT calculation (PBE) of a relaxed structure of MnSn3B.

Unit cell a=5.029 b=5.029 c=5.029 alpha=90.00 beta=90.00 gamma=90.00
Fractional coordinates of all 5 atoms:
1 Mn 0.000 0.000 0.000
2 Sn 0.000 0.000 0.500
3 Sn 0.000 0.500 0.000
4 Sn 0.500 0.000 0.000
5 B 0.500 0.500 0.500

* symmetry: Pm-3m (221)
* excess energy over the best structure of this formula in the dataset: 0.00 eV per formula unit
* magnetization: 0.399 μB per atom



The following is a DFT calculation (PBE) of a relaxed structure of CdSeCl.

Unit cell a=8.166 b=8.166 c=8.166 alpha=45.95 beta=45.95 gamma=45.95
Fractional coordinates of all 9 atoms:
1 Cd 0.000 0.000 0.000
2 Cd 0.177 0.177 0.177
3 Cd 0.648 0.648 0.648
4 Se 0.450 0.962 0.850
5 Se 0.850 0.450 0.962
6 Se 0.962 0.850 0.450
7 Cl 0.241 0.590 0.929
8 Cl 0.590 0.929 0.241
9 Cl 0.929 0.241 0.590

* symmetry: R3 (146)
* ΔE_f (raw): -0.50 eV/atom
* excess energy over the best structure of this formula in the dataset: 0.60 eV per formula unit
* magnetization: 0.000 μB per atom



The following is a DFT calculation (PBE) of a relaxed structure of Sc2TlBi2.

Unit cell a=8.616 b=8.616 c=3.755 alpha=90.00 beta=90.00 gamma=90.00
Fractional coordinates of all 10 atoms:
1 Sc 0.146 0.354 0.000
2 Sc 0.354 0.854 0.000
3 Sc 0.646 0.146 0.000
4 Sc 0.854 0.646 0.000
5 Tl 0.000 0.000 0.500
6 Tl 0.500 0.500 0.500
7 Bi 0.148 0.648 0.500
8 Bi 0.352 0.148 0.500
9 Bi 0.648 0.852 0.500
10 Bi 0.852 0.352 0.500

* symmetry: P4/mbm (127)
* excess energy over the best structure of this formula in the dataset: 0.34 eV per formula unit
* magnetization: 0.000 μB per atom